KSrY2, optimized geometry, DFT PBE; uncorrected energy = -3.494 eV/atom; space-group type = P4/mmm, No. 123; ΔE to the lowest computed polymorph = 0.229 eV per atom; theoretical density = 2.97 Mg/m³; energy of formation = 0.43 eV/atom
1.0
3.6678 0.0000 0.0000
0.0000 3.6678 0.0000
0.0000 0.0000 12.6401
Y Sr K
2 1 1
Direct
0.0000 0.0000 0.5189
0.0000 0.0000 0.9811
0.5000 0.5000 0.7500
0.5000 0.5000 0.2500

---

Ca3NdPd4, optimized geometry, DFT PBE; uncorrected energy = -4.652 eV/atom; space-group type = P4/mmm, No. 123; theoretical density = 6.34 Mg/m³; energy of formation = -0.71 eV/atom
1.0
3.5658 0.0000 0.0000
0.0000 3.5658 0.0000
0.0000 0.0000 14.2255
Pd Ca Nd
4 3 1
Direct
0.0000 0.0000 0.8770
0.0000 0.0000 0.3765
0.0000 0.0000 0.1230
0.0000 0.0000 0.6235
0.5000 0.5000 0.2549
0.5000 0.5000 0.7451
0.5000 0.5000 0.5000
0.5000 0.5000 0.0000

---

CaV2Pb, optimized geometry, DFT PBE; uncorrected energy = -5.067 eV/atom; space-group type = I-42d, No. 122; theoretical density = 5.59 Mg/m³; energy of formation = 0.92 eV/atom
1.0
8.2141 0.0000 0.0000
0.0000 8.2141 0.0000
4.1070 4.1070 3.0753
V Pb Ca
4 2 2
Direct
0.3750 0.3327 0.7500
0.0827 0.6250 0.2500
0.6673 0.1250 0.2500
0.8750 0.9173 0.7500
0.0000 0.0000 0.0000
0.7500 0.2500 0.5000
0.2500 0.7500 0.5000
0.5000 0.5000 0.0000

---

KNbO3, optimized geometry, DFT PBE; uncorrected energy = -6.493 eV/atom; space-group type = I-4m2, No. 119; theoretical density = 3.66 Mg/m³
1.0
3.6404 0.0000 0.0000
0.0000 3.6404 0.0000
1.8202 1.8202 12.3145
O Nb K
6 2 2
Direct
0.1566 0.8974 0.2051
0.6383 0.8974 0.2051
0.6710 0.6710 0.6580
0.3290 0.3290 0.3420
0.1026 0.3617 0.7949
0.1026 0.8434 0.7949
0.8701 0.3701 0.2598
0.6299 0.1299 0.7402
0.2500 0.7500 0.5000
0.0000 0.0000 0.0000

---

SrZnOs2, optimized geometry, DFT PBE; uncorrected energy = -5.511 eV/atom; space-group type = F-43m, No. 216; theoretical density = 12.40 Mg/m³; energy of formation = 0.84 eV/atom
1.0
-4.1725 -1.5128 -1.4118
2.0578 -3.3783 -2.4585
0.8979 0.4469 4.5482
Os Sr Zn
2 1 1
Direct
0.2500 0.7500 0.5000
0.0000 0.0000 0.0000
0.5000 0.5000 0.0000
0.7500 0.2500 0.5000